VASP calculation (PBE) on a geometry-optimized CeY2Ge3 structure.

Cell lengths 4.163, 5.916, 12.607 Å; angles 90.00, 90.00, 90.00 degrees
Space group Immm (No. 71)
Symmetry-distinct sites (fractional):
Ce 0.000 0.000 0.000 x2
Y 0.000 0.000 0.332 x4
Ge 0.000 0.500 0.000 x2
Ge 0.000 0.500 0.335 x4

Calculated values
ΔH_f (0 K), meV/atom: -674

VASP calculation (PBE) on a geometry-optimized TmThSb structure.

Cell lengths 8.084, 8.084, 6.192 Å; angles 90.00, 90.00, 90.00 degrees
Space group P4_2/mmc (No. 131)
Symmetry-distinct sites (fractional):
Tm 0.000 0.203 0.000 x4
Th 0.226 0.500 0.500 x4
Sb 0.233 0.500 0.000 x4

Calculated values
Formation energy from raw total energies, eV per atom: -0.3147

VASP calculation (PBE) on a geometry-optimized ZnInTc2 structure.

Cell lengths 2.8727, 2.8727, 28.0888 Å; angles 90.00, 90.00, 120.00 degrees
Space group R3m (No. 160, hexagonal axes)
Symmetry-distinct sites (fractional):
Zn 0.0000 0.0000 0.0000 x3
In 0.0000 0.0000 0.7621 x3
Tc 0.0000 0.0000 0.2548 x3
Tc 0.0000 0.0000 0.5165 x3

Calculated values
Energy above the most stable polymorph in this dataset, meV per atom: 125
ΔH_f (0 K), meV/atom: 191

VASP calculation (PBE) on a geometry-optimized CeMg structure.

Cell lengths 5.178, 3.084, 6.210 Å; angles 90.00, 90.00, 90.00 degrees
Space group Pmma (No. 51)
Symmetry-distinct sites (fractional):
Ce 0.250 0.000 0.110 x2
Mg 0.250 0.500 0.627 x2

Calculated values
ΔH_f (0 K), meV/atom: 6

VASP calculation (PBE) on a geometry-optimized GaCoCuNi structure.

Cell lengths 5.713, 5.713, 5.713 Å; angles 90.00, 90.00, 90.00 degrees
Space group F-43m (No. 216)
Symmetry-distinct sites (fractional):
Ga 0.000 0.000 0.000 x4
Co 0.250 0.250 0.250 x4
Cu 0.000 0.000 0.500 x4
Ni 0.250 0.250 0.750 x4

Calculated values
ΔH_f (0 K), meV/atom: -154

VASP calculation (PBE) on a geometry-optimized Sr2TcPtF structure.

Cell lengths 5.736, 5.736, 4.671 Å; angles 90.00, 90.00, 90.00 degrees
Space group P4/mmm (No. 123)
Symmetry-distinct sites (fractional):
Sr 0.000 0.500 0.000 x2
Tc 0.000 0.000 0.000 x1
Pt 0.000 0.000 0.500 x1
F 0.500 0.500 0.500 x1

Calculated values
Formation energy from raw total energies, eV per atom: -0.2810

VASP calculation (PBE) on a geometry-optimized LiLa5Tc2 structure.

Cell lengths 4.309, 7.406, 15.863 Å; angles 90.00, 90.00, 90.00 degrees
Space group Immm (No. 71)
Symmetry-distinct sites (fractional):
Li 0.000 0.000 0.000 x2
La 0.000 0.255 0.343 x8
La 0.000 0.500 0.000 x2
Tc 0.000 0.500 0.168 x4

Calculated values
ΔH_f (0 K), meV/atom: 77

VASP calculation (PBE) on a geometry-optimized Cd2In structure.

Cell lengths 9.946, 5.753, 5.149 Å; angles 90.00, 90.00, 90.00 degrees
Space group Cmcm (No. 63)
Symmetry-distinct sites (fractional):
Cd 0.171 0.163 0.250 x8
In 0.000 0.324 0.750 x4

Calculated values
ΔH_f (0 K), meV/atom: 33

VASP calculation (PBE) on a geometry-optimized Cs2RbRuCl6 structure.

Cell lengths 11.014, 11.014, 11.014 Å; angles 90.00, 90.00, 90.00 degrees
Space group Fm-3m (No. 225)
Symmetry-distinct sites (fractional):
Cs 0.250 0.250 0.250 x8
Rb 0.000 0.000 0.000 x4
Ru 0.000 0.000 0.500 x4
Cl 0.000 0.000 0.283 x24

Calculated values
Formation energy from raw total energies, eV per atom: -1.3990

VASP calculation (PBE) on a geometry-optimized PaTl2Ga structure.

Cell lengths 3.2482, 3.2482, 35.1155 Å; angles 90.00, 90.00, 120.00 degrees
Space group R-3m (No. 166, hexagonal axes)
Symmetry-distinct sites (fractional):
Pa 0.0000 0.0000 0.0000 x3
Tl 0.0000 0.0000 0.0924 x6
Ga 0.0000 0.0000 0.5000 x3

Calculated values
Energy above the most stable polymorph in this dataset, meV per atom: 327
ΔH_f (0 K), meV/atom: 337

VASP calculation (PBE) on a geometry-optimized Pu3Si2Ni7 structure.

Cell lengths 5.1308, 5.1308, 23.1003 Å; angles 90.00, 90.00, 120.00 degrees
Space group R-3m (No. 166, hexagonal axes)
Symmetry-distinct sites (fractional):
Pu 0.0000 0.0000 0.0000 x3
Pu 0.0000 0.0000 0.1430 x6
Si 0.0000 0.0000 0.3319 x6
Ni 0.0000 0.0000 0.5000 x3
Ni 0.0031 0.5015 0.0779 x18

Calculated values
Formation energy from raw total energies, eV per atom: -0.4164

VASP calculation (PBE) on a geometry-optimized Li3WI structure.

Cell lengths 5.158, 5.158, 5.158 Å; angles 90.00, 90.00, 90.00 degrees
Space group Pm-3m (No. 221)
Symmetry-distinct sites (fractional):
Li 0.000 0.000 0.500 x3
W 0.500 0.500 0.500 x1
I 0.000 0.000 0.000 x1

Calculated values
Energy above the most stable polymorph in this dataset, meV per atom: 0
Formation energy from raw total energies, eV per atom: 0.9683